1.
# MgAsRh

A relaxed MgAsRh crystal (PBE, the Alexandria database).

Calculated values
As for the formation energy: -0.46 eV per atom.

a b c (Å): 5.118 5.118 3.315
angles (deg): 71.10 71.11 37.79
Atoms (fractional coordinates):
As (0.975, 0.975, 0.025)
Mg (0.668, 0.668, 0.332)
Rh (0.358, 0.358, 0.642)

---

2.
# MgAsRh2

A relaxed MgAsRh2 crystal (PBE, the Alexandria database).

Calculated values
As for the formation energy: -0.46 eV per atom.

a b c (Å): 4.516 4.516 4.516
angles (deg): 125.51 125.51 80.69
Atoms (fractional coordinates):
As (0.250, 0.750, 0.500)
Rh (0.000, 0.000, 0.000)
Rh (0.500, 0.500, 0.000)
Mg (0.750, 0.250, 0.500)

---

3.
# Mg2As2Rh

A relaxed Mg2As2Rh crystal (PBE, the Alexandria database).

Calculated values
As for the formation energy: 0.19 eV per atom. For the offset from the most stable computed form, the calculation gives 573 meV/atom.

a b c (Å): 5.990 5.990 5.990
angles (deg): 136.26 136.26 63.58
Site moments in Bohr magnetons follow the coordinates.
Atoms (fractional coordinates):
Mg (0.250, 0.750, 0.500)  0.01
Mg (0.750, 0.250, 0.500)  0.01
As (0.616, 0.616, 0.000)  0.04
As (0.384, 0.384, 0.000)  0.04
Rh (0.000, 0.000, 0.000)  0.76

---

4.
# MgAs2Rh

A relaxed MgAs2Rh crystal (PBE, the Alexandria database).

Calculated values
As for the formation energy: -0.16 eV per atom.

a b c (Å): 8.261 8.261 8.261
angles (deg): 22.58 22.58 22.58
Atoms (fractional coordinates):
As (0.011, 0.011, 0.011)
As (0.253, 0.253, 0.253)
Mg (0.494, 0.494, 0.494)
Rh (0.742, 0.742, 0.742)

---

5.
# Mg2AsRh4

A relaxed Mg2AsRh4 crystal (PBE, the Alexandria database).

Calculated values
As for the formation energy: -0.26 eV per atom.

a b c (Å): 5.204 5.204 5.204
angles (deg): 109.15 109.63 109.63
Atoms (fractional coordinates):
Mg (0.500, 0.500, 0.000)
Mg (0.500, 0.000, 0.500)
As (0.000, 0.000, 0.000)
Rh (0.500, 0.000, 0.000)
Rh (0.500, 0.500, 0.500)
Rh (0.000, 0.000, 0.500)
Rh (0.000, 0.500, 0.000)

---

6.
# MgAs2Rh

A relaxed MgAs2Rh crystal (PBE, the Alexandria database).

Calculated values
As for the formation energy: -0.21 eV per atom.

a b c (Å): 4.245 4.253 3.714
angles (deg): 90.00 90.00 90.00
Atoms (fractional coordinates):
As (0.000, 0.000, 0.000)
As (0.500, 0.500, 0.000)
Mg (0.500, 0.000, 0.500)
Rh (0.000, 0.500, 0.500)